The following is a PBE calculation of an optimized crystal structure of Ba3NaRe2O9, from Alexandria.

abc: 5.854 5.854 7.239
angles: 90.00 90.00 120.00
Element x y z (fractional)
Ba (0.000, 0.000, 0.000)
Ba (0.333, 0.667, 0.653)
Ba (0.667, 0.333, 0.347)
Na (0.000, 0.000, 0.500)
Re (0.333, 0.667, 0.158)
Re (0.667, 0.333, 0.842)
O (0.000, 0.500, 0.000)
O (0.180, 0.359, 0.308)
O (0.180, 0.820, 0.308)
O (0.359, 0.180, 0.692)
O (0.500, 0.000, 0.000)
O (0.500, 0.500, 0.000)
O (0.641, 0.820, 0.308)
O (0.820, 0.180, 0.692)
O (0.820, 0.641, 0.692)

- calculated total energy (Ry per atom) = -0.53711
- Fermi-level density of states (states/eV/cell) = 6.54
- formation energy from raw total energies (eV/atom) = -2.20